Sc2TaFe after structural relaxation, computed with GGA-PBE.

Cell: 4.7179 4.7179 4.7179 Å, 60.00 60.00 60.00°
Element x y z (fractional)
Fe 0.0000 0.0000 0.0000
Sc 0.2500 0.2500 0.2500
Sc 0.7500 0.7500 0.7500
Ta 0.5000 0.5000 0.5000

E_form (eV per atom): 0.40
Total moment (μB per formula unit): 3.8
Relative energy among the computed polymorphs (eV per formula unit): 1.72
Total DFT energy (no corrections) (eV/atom): -7.847

---

ScTa2Fe3 after structural relaxation, computed with GGA-PBE.

Cell: 3.0636 3.0636 9.3401 Å, 90.00 90.00 90.00°
Element x y z (fractional)
Sc 0.5000 0.5000 0.5000
Ta 0.5000 0.5000 0.8336
Ta 0.5000 0.5000 0.1664
Fe 0.0000 0.0000 0.0000
Fe 0.0000 0.0000 0.6835
Fe 0.0000 0.0000 0.3165

E_form (eV per atom): -0.20
Total moment (μB per formula unit): 1.1
Total DFT energy (no corrections) (eV/atom): -9.434

---

ScTa3Fe8 after structural relaxation, computed with GGA-PBE.

Cell: 4.8443 4.8443 8.3871 Å, 73.21 73.21 60.00°
Element x y z (fractional)
Sc 0.8749 0.8749 0.3753
Ta 0.3750 0.3750 0.8749
Ta 0.0006 0.0006 0.9981
Ta 0.4994 0.4994 0.5017
Fe 0.9385 0.4383 0.1848
Fe 0.4354 0.9372 0.6902
Fe 0.4383 0.4383 0.1848
Fe 0.9372 0.9372 0.6902
Fe 0.1872 0.1872 0.4384
Fe 0.6878 0.6878 0.9366
Fe 0.4383 0.9385 0.1848
Fe 0.9372 0.4354 0.6902

E_form (eV per atom): -0.21
Total moment (μB per formula unit): 11.9
Total DFT energy (no corrections) (eV/atom): -9.347

---

ScTa2Fe9 after structural relaxation, computed with GGA-PBE.

Cell: 4.8362 4.8362 8.3083 Å, 73.08 73.08 60.00°
Element x y z (fractional)
Sc 0.0000 0.0000 0.0000
Ta 0.8572 0.8572 0.4283
Ta 0.1428 0.1428 0.5717
Fe 0.6664 0.6664 0.0007
Fe 0.3336 0.3336 0.9993
Fe 0.5000 0.5000 0.5000
Fe 0.4120 0.4120 0.2573
Fe 0.9188 0.4120 0.2573
Fe 0.4120 0.9188 0.2573
Fe 0.5880 0.5880 0.7427
Fe 0.5880 0.0812 0.7427
Fe 0.0812 0.5880 0.7427

E_form (eV per atom): -0.16
Total moment (μB per formula unit): 15.2
Total DFT energy (no corrections) (eV/atom): -9.007

---

Sc2TaFe after structural relaxation, computed with GGA-PBE.

Cell: 5.3693 5.3693 2.8842 Å, 84.88 84.88 115.77°
Element x y z (fractional)
Fe 0.0000 0.5000 0.5000
Sc 0.0000 0.0000 0.0000
Sc 0.5000 0.5000 0.0000
Ta 0.5000 0.0000 0.5000

E_form (eV per atom): 0.29
Total moment (μB per formula unit): 1.6
Relative energy among the computed polymorphs (eV per formula unit): 1.31
Total DFT energy (no corrections) (eV/atom): -7.950

---

Sc2TaFe after structural relaxation, computed with GGA-PBE.

Cell: 4.5400 3.9819 3.9819 Å, 90.00 90.00 90.00°
Element x y z (fractional)
Fe 0.5000 0.0000 0.5000
Sc 0.0000 0.0000 0.0000
Sc 0.0000 0.5000 0.5000
Ta 0.5000 0.5000 0.0000

E_form (eV per atom): 0.28
Total moment (μB per formula unit): 0.9
Relative energy among the computed polymorphs (eV per formula unit): 1.24
Total DFT energy (no corrections) (eV/atom): -7.967

---

Sc2TaFe after structural relaxation, computed with GGA-PBE.

Cell: 3.1015 3.1015 7.7760 Å, 90.00 90.00 90.00°
Element x y z (fractional)
Sc 0.0000 0.0000 0.9385
Sc 0.5000 0.5000 0.2843
Fe 0.5000 0.5000 0.7299
Ta 0.0000 0.0000 0.5473

E_form (eV per atom): -0.03
Total moment (μB per formula unit): 0.2
Relative energy among the computed polymorphs (eV per formula unit): 0.01
Total DFT energy (no corrections) (eV/atom): -8.276

---

ScTaTi2Fe after structural relaxation, computed with GGA-PBE.

Cell: 4.6039 4.2088 4.6039 Å, 90.00 90.00 90.00°
Element x y z (fractional)
Sc 0.0000 0.0000 0.0000
Ti 0.0000 0.0000 0.5000
Ti 0.5000 0.0000 0.0000
Fe 0.0000 0.5000 0.0000
Ta 0.5000 0.5000 0.5000

E_form (eV per atom): 1.27
Total moment (μB per formula unit): 1.2
Total DFT energy (no corrections) (eV/atom): -7.213

---

ScTaZnFe after structural relaxation, computed with GGA-PBE.

Cell: 4.4808 4.4808 4.4808 Å, 60.00 60.00 60.00°
Element x y z (fractional)
Sc 0.2500 0.2500 0.2500
Zn 0.0000 0.0000 0.0000
Fe 0.5000 0.5000 0.5000
Ta 0.7500 0.7500 0.7500

E_form (eV per atom): -0.05
Total moment (μB per formula unit): 0.3
Total DFT energy (no corrections) (eV/atom): -7.032

---

TbScFe4 after structural relaxation, computed with GGA-PBE.

Cell: 5.0327 5.0327 5.0327 Å, 60.00 60.00 60.00°
Element x y z (fractional)
Sc 0.0000 0.0000 0.0000
Tb 0.2500 0.2500 0.2500
Fe 0.6254 0.6254 0.1239
Fe 0.6254 0.1239 0.6254
Fe 0.6254 0.6254 0.6254
Fe 0.1239 0.6254 0.6254

E_form (eV per atom): -0.15
Total moment (μB per formula unit): 6.1
Total DFT energy (no corrections) (eV/atom): -7.617

---

TbScFe after structural relaxation, computed with GGA-PBE.

Cell: 3.2250 3.2250 6.5403 Å, 104.27 104.27 90.00°
Element x y z (fractional)
Sc 0.2900 0.2900 0.5800
Tb 0.0354 0.0354 0.0708
Fe 0.6746 0.6746 0.3491

E_form (eV per atom): 0.00
Total moment (μB per formula unit): 0.0
Relative energy among the computed polymorphs (eV per formula unit): 0.03
Total DFT energy (no corrections) (eV/atom): -6.479

---

TbScFe after structural relaxation, computed with GGA-PBE.

Cell: 6.4405 6.7298 7.0322 Å, 90.00 90.00 118.59°
Element x y z (fractional)
Fe 0.5915 0.1830 0.5395
Fe 0.9085 0.8170 0.0395
Fe 0.4085 0.8170 0.4605
Fe 0.0915 0.1830 0.9605
Sc 0.2905 0.0810 0.2500
Sc 0.2095 0.9190 0.7500
Sc 0.7095 0.9190 0.7500
Sc 0.7905 0.0810 0.2500
Tb 0.8044 0.6088 0.3885
Tb 0.6956 0.3912 0.8885
Tb 0.1956 0.3912 0.6115
Tb 0.3044 0.6088 0.1115

E_form (eV per atom): -0.01
Total moment (μB per formula unit): 0.6
Relative energy among the computed polymorphs (eV per formula unit): 0.00
Total DFT energy (no corrections) (eV/atom): -6.489

---

TbSc3Fe8 after structural relaxation, computed with GGA-PBE.

Cell: 4.9742 4.9742 8.6188 Å, 73.23 73.23 60.00°
Element x y z (fractional)
Tb 0.8752 0.8752 0.3743
Sc 0.3748 0.3748 0.8754
Sc 0.0016 0.0016 0.9953
Sc 0.4979 0.4979 0.5063
Fe 0.9404 0.4388 0.1820
Fe 0.4340 0.9368 0.6923
Fe 0.4388 0.4388 0.1820
Fe 0.9368 0.9368 0.6923
Fe 0.1870 0.1870 0.4390
Fe 0.6878 0.6878 0.9366
Fe 0.4388 0.9404 0.1820
Fe 0.9368 0.4340 0.6923

E_form (eV per atom): -0.21
Total moment (μB per formula unit): 11.4
Total DFT energy (no corrections) (eV/atom): -7.819

---

TbSc2Fe9 after structural relaxation, computed with GGA-PBE.

Cell: 4.9711 4.9711 8.4147 Å, 72.82 72.82 60.00°
Element x y z (fractional)
Tb 0.0000 0.0000 0.0000
Sc 0.8567 0.8567 0.4298
Sc 0.1433 0.1433 0.5702
Fe 0.6671 0.6671 0.9987
Fe 0.3329 0.3329 0.0013
Fe 0.5000 0.5000 0.5000
Fe 0.4144 0.4144 0.2535
Fe 0.9177 0.4144 0.2535
Fe 0.4144 0.9177 0.2535
Fe 0.5856 0.5856 0.7465
Fe 0.5856 0.0823 0.7465
Fe 0.0823 0.5856 0.7465

E_form (eV per atom): -0.16
Total moment (μB per formula unit): 15.3
Total DFT energy (no corrections) (eV/atom): -7.949

---

ScFe2Tc after structural relaxation, computed with GGA-PBE.

Cell: 4.2752 4.2752 4.2752 Å, 60.00 60.00 60.00°
Element x y z (fractional)
Sc 0.0000 0.0000 0.0000
Tc 0.5000 0.5000 0.5000
Fe 0.2500 0.2500 0.2500
Fe 0.7500 0.7500 0.7500

E_form (eV per atom): 0.05
Total moment (μB per formula unit): 2.2
Relative energy among the computed polymorphs (eV per formula unit): 0.13
Total DFT energy (no corrections) (eV/atom): -8.360

---

ScFe2Tc after structural relaxation, computed with GGA-PBE.

Cell: 4.2777 4.2777 4.2777 Å, 60.00 60.00 60.00°
Element x y z (fractional)
Fe 0.0000 0.0000 0.0000
Fe 0.2500 0.2500 0.2500
Sc 0.5000 0.5000 0.5000
Tc 0.7500 0.7500 0.7500

E_form (eV per atom): 0.10
Total moment (μB per formula unit): 2.9
Relative energy among the computed polymorphs (eV per formula unit): 0.34
Total DFT energy (no corrections) (eV/atom): -8.309

---

Sc2FeTc2 after structural relaxation, computed with GGA-PBE.

Cell: 6.3820 6.3820 4.3169 Å, 90.00 90.00 90.00°
Element x y z (fractional)
Sc 0.1777 0.6777 0.5000
Sc 0.6777 0.8223 0.5000
Sc 0.8223 0.3223 0.5000
Sc 0.3223 0.1777 0.5000
Tc 0.3677 0.8677 0.0000
Tc 0.8677 0.6323 0.0000
Tc 0.6323 0.1323 0.0000
Tc 0.1323 0.3677 0.0000
Fe 0.0000 0.0000 0.0000
Fe 0.5000 0.5000 0.0000

E_form (eV per atom): 0.02
Total moment (μB per formula unit): 2.0
Total DFT energy (no corrections) (eV/atom): -8.356

---

ScFeTc after structural relaxation, computed with GGA-PBE.

Cell: 2.9003 2.9003 6.4485 Å, 90.00 90.00 120.00°
Element x y z (fractional)
Fe 0.0000 0.0000 0.9833
Sc 0.6667 0.3333 0.3266
Tc 0.3333 0.6667 0.6901

E_form (eV per atom): 0.24
Total moment (μB per formula unit): 1.5
Relative energy among the computed polymorphs (eV per formula unit): 1.47
Total DFT energy (no corrections) (eV/atom): -8.149

---

Sc2Fe3Tc after structural relaxation, computed with GGA-PBE.

Cell: 4.9963 4.9963 5.0124 Å, 90.13 119.75 119.99°
Element x y z (fractional)
Sc 0.7500 0.3752 0.1251
Sc 0.2500 0.6248 0.8749
Fe 0.5000 0.5000 0.5000
Fe 0.0000 0.0000 0.5000
Fe 0.5000 0.0000 0.5000
Tc 0.0000 0.0000 0.0000

E_form (eV per atom): -0.24
Total moment (μB per formula unit): 4.1
Total DFT energy (no corrections) (eV/atom): -8.314

---

ScFeTc after structural relaxation, computed with GGA-PBE.

Cell: 4.2364 4.2364 2.9531 Å, 90.00 90.00 120.00°
Element x y z (fractional)
Fe 0.0000 0.0000 0.9064
Sc 0.6667 0.3333 0.3329
Tc 0.3333 0.6667 0.7606

E_form (eV per atom): 0.12
Total moment (μB per formula unit): 0.6
Relative energy among the computed polymorphs (eV per formula unit): 1.12
Total DFT energy (no corrections) (eV/atom): -8.264

---

ScFeTc after structural relaxation, computed with GGA-PBE.

Cell: 4.9054 4.9054 4.9530 Å, 104.41 104.41 119.83°
Element x y z (fractional)
Sc 0.6633 0.3367 0.0000
Sc 0.3367 0.6633 0.0000
Tc 0.8494 0.8494 0.6989
Tc 0.1506 0.1506 0.3011
Fe 0.7500 0.2500 0.5000
Fe 0.2500 0.7500 0.5000

E_form (eV per atom): -0.07
Total moment (μB per formula unit): 0.8
Relative energy among the computed polymorphs (eV per formula unit): 0.56
Total DFT energy (no corrections) (eV/atom): -8.452

---

Sc4FeTc after structural relaxation, computed with GGA-PBE.

Cell: 3.2200 3.2200 11.2772 Å, 90.00 90.00 90.00°
Element x y z (fractional)
Sc 0.4999 0.4999 0.8633
Sc 0.5001 0.5001 0.1367
Sc 0.0000 0.0000 0.6306
Sc 0.0000 0.0000 0.3694
Fe 0.5000 0.5000 0.5000
Tc 0.0000 0.0000 0.0000

E_form (eV per atom): -0.16
Total moment (μB per formula unit): 0.0
Relative energy among the computed polymorphs (eV per formula unit): 0.00
Total DFT energy (no corrections) (eV/atom): -7.520

---

Sc2FeTc after structural relaxation, computed with GGA-PBE.

Cell: 4.6963 3.0684 4.8366 Å, 90.00 102.11 90.00°
Element x y z (fractional)
Sc 0.3024 0.5000 0.9667
Sc 0.9102 0.5000 0.4078
Fe 0.4568 0.0000 0.4634
Tc 0.7600 0.0000 0.8883

E_form (eV per atom): -0.01
Total moment (μB per formula unit): 0.0
Total DFT energy (no corrections) (eV/atom): -7.881

---

Sc2FeTc after structural relaxation, computed with GGA-PBE.

Cell: 2.9813 5.0753 5.1142 Å, 112.87 100.76 99.37°
Element x y z (fractional)
Sc 0.4008 0.9895 0.2161
Sc 0.4164 0.6113 0.5996
Fe 0.7497 0.5115 0.1199
Tc 0.0722 0.1615 0.7677

E_form (eV per atom): -0.05
Total moment (μB per formula unit): 0.0
Total DFT energy (no corrections) (eV/atom): -7.926

---

Sc2FeTc after structural relaxation, computed with GGA-PBE.

Cell: 7.0462 7.0462 5.7357 Å, 52.10 52.10 90.00°
Element x y z (fractional)
Sc 0.6154 0.1250 0.2500
Sc 0.1346 0.6250 0.2500
Sc 0.3750 0.3846 0.7500
Sc 0.8750 0.8654 0.7500
Tc 0.0000 0.0000 0.0000
Tc 0.7500 0.2500 0.5000
Fe 0.5000 0.5000 0.0000
Fe 0.2500 0.7500 0.5000

E_form (eV per atom): 0.38
Total moment (μB per formula unit): 2.6
Total DFT energy (no corrections) (eV/atom): -7.492

---

Sc2FeTc after structural relaxation, computed with GGA-PBE.

Cell: 4.4419 3.1365 9.4560 Å, 90.00 90.00 90.00°
Element x y z (fractional)
Sc 0.0000 0.0000 0.4816
Sc 0.5000 0.5000 0.9816
Sc 0.0000 0.5000 0.2043
Sc 0.5000 0.0000 0.7043
Fe 0.0000 0.5000 0.7336
Fe 0.5000 0.0000 0.2336
Tc 0.0000 0.0000 0.9435
Tc 0.5000 0.5000 0.4435

E_form (eV per atom): -0.10
Total moment (μB per formula unit): 0.3
Total DFT energy (no corrections) (eV/atom): -7.971

---

Sc2FeTc after structural relaxation, computed with GGA-PBE.

Cell: 8.4942 8.4942 8.4942 Å, 21.16 21.16 21.16°
Element x y z (fractional)
Fe 0.7500 0.7500 0.7500
Sc 0.9972 0.9972 0.9972
Sc 0.5028 0.5028 0.5028
Tc 0.2500 0.2500 0.2500

E_form (eV per atom): 0.17
Total moment (μB per formula unit): 2.1
Total DFT energy (no corrections) (eV/atom): -7.699